1.
Computed, not measured: crystalline OsBr at its relaxed geometry at the PBE-GGA level of DFT.

Values from the calculation:
Crystal system   orthorhombic
SG   P2_12_12_1

Cell and atoms, written as CIF:
```
data_OsBr
_chemical_formula_sum 'Os8 Br8'
_cell_length_a 8.395
_cell_length_b 6.375
_cell_length_c 8.419
_cell_angle_alpha 90.00
_cell_angle_beta 90.00
_cell_angle_gamma 90.00
_symmetry_space_group_name_H-M 'P 1'
_symmetry_Int_Tables_number 1
_symmetry_space_group_name_Hall 'P 1'
loop_
_atom_site_label
_atom_site_type_symbol
_atom_site_fract_x
_atom_site_fract_y
_atom_site_fract_z
Os1 Os 0.483 0.052 0.607
Os2 Os 0.643 0.803 0.734
Os3 Os 0.857 0.197 0.234
Os4 Os 0.143 0.697 0.266
Os5 Os 0.983 0.448 0.393
Os6 Os 0.017 0.948 0.107
Os7 Os 0.357 0.303 0.766
Os8 Os 0.517 0.552 0.893
Br1 Br 0.422 0.628 0.170
Br2 Br 0.762 0.373 0.988
Br3 Br 0.262 0.127 0.012
Br4 Br 0.738 0.627 0.488
Br5 Br 0.238 0.873 0.512
Br6 Br 0.922 0.872 0.830
Br7 Br 0.078 0.372 0.670
Br8 Br 0.578 0.128 0.330
```

2.
Computed, not measured: crystalline POsBr at its relaxed geometry at the PBE-GGA level of DFT.

Values from the calculation:
Crystal system   orthorhombic
SG   Imm2

Cell and atoms, written as CIF:
```
data_POsBr
_chemical_formula_sum 'P1 Os1 Br1'
_cell_length_a 6.490
_cell_length_b 6.490
_cell_length_c 6.490
_cell_angle_alpha 149.47
_cell_angle_beta 154.07
_cell_angle_gamma 40.48
_symmetry_space_group_name_H-M 'P 1'
_symmetry_Int_Tables_number 1
_symmetry_space_group_name_Hall 'P 1'
loop_
_atom_site_label
_atom_site_type_symbol
_atom_site_fract_x
_atom_site_fract_y
_atom_site_fract_z
Os1 Os 0.787 0.787 0.000
P1 P 0.223 0.223 0.000
Br1 Br 0.990 0.990 0.000
```

3.
Computed, not measured: crystalline P2OsBr at its relaxed geometry at the PBE-GGA level of DFT.

Values from the calculation:
Crystal system   monoclinic
SG   C2/m

Cell and atoms, written as CIF:
```
data_P2OsBr
_chemical_formula_sum 'P2 Os1 Br1'
_cell_length_a 3.898
_cell_length_b 3.898
_cell_length_c 7.887
_cell_angle_alpha 62.95
_cell_angle_beta 62.95
_cell_angle_gamma 46.77
_symmetry_space_group_name_H-M 'P 1'
_symmetry_Int_Tables_number 1
_symmetry_space_group_name_Hall 'P 1'
loop_
_atom_site_label
_atom_site_type_symbol
_atom_site_fract_x
_atom_site_fract_y
_atom_site_fract_z
Br1 Br 0.250 0.250 0.250
P1 P 0.956 0.956 0.915
P2 P 0.544 0.544 0.585
Os1 Os 0.750 0.750 0.750
```

4.
Computed, not measured: crystalline P2OsBr at its relaxed geometry at the PBE-GGA level of DFT.

Values from the calculation:
Crystal system   cubic
SG   Fm-3m

Cell and atoms, written as CIF:
```
data_P2OsBr
_chemical_formula_sum 'P2 Os1 Br1'
_cell_length_a 4.464
_cell_length_b 4.464
_cell_length_c 4.464
_cell_angle_alpha 60.00
_cell_angle_beta 60.00
_cell_angle_gamma 60.00
_symmetry_space_group_name_H-M 'P 1'
_symmetry_Int_Tables_number 1
_symmetry_space_group_name_Hall 'P 1'
loop_
_atom_site_label
_atom_site_type_symbol
_atom_site_fract_x
_atom_site_fract_y
_atom_site_fract_z
Br1 Br 0.000 0.000 0.000
P1 P 0.250 0.250 0.250
P2 P 0.750 0.750 0.750
Os1 Os 0.500 0.500 0.500
```

5.
Computed, not measured: crystalline P2OsBr at its relaxed geometry at the PBE-GGA level of DFT.

Values from the calculation:
Crystal system   orthorhombic
SG   Cmmm

Cell and atoms, written as CIF:
```
data_P2OsBr
_chemical_formula_sum 'P2 Os1 Br1'
_cell_length_a 4.787
_cell_length_b 4.787
_cell_length_c 3.122
_cell_angle_alpha 90.00
_cell_angle_beta 90.00
_cell_angle_gamma 115.69
_symmetry_space_group_name_H-M 'P 1'
_symmetry_Int_Tables_number 1
_symmetry_space_group_name_Hall 'P 1'
loop_
_atom_site_label
_atom_site_type_symbol
_atom_site_fract_x
_atom_site_fract_y
_atom_site_fract_z
P1 P 0.500 0.500 0.000
P2 P 0.000 0.000 0.000
Br1 Br 0.500 0.000 0.500
Os1 Os 0.000 0.500 0.500
```

6.
Computed, not measured: crystalline P2OsBr at its relaxed geometry at the PBE-GGA level of DFT.

Values from the calculation:
Crystal system   trigonal
SG   R3m

Cell and atoms, written as CIF:
```
data_P2OsBr
_chemical_formula_sum 'P2 Os1 Br1'
_cell_length_a 9.604
_cell_length_b 9.604
_cell_length_c 9.604
_cell_angle_alpha 18.03
_cell_angle_beta 18.03
_cell_angle_gamma 18.03
_symmetry_space_group_name_H-M 'P 1'
_symmetry_Int_Tables_number 1
_symmetry_space_group_name_Hall 'P 1'
loop_
_atom_site_label
_atom_site_type_symbol
_atom_site_fract_x
_atom_site_fract_y
_atom_site_fract_z
P1 P 0.008 0.008 0.008
P2 P 0.282 0.282 0.282
Os1 Os 0.731 0.731 0.731
Br1 Br 0.480 0.480 0.480
```

7.
Computed, not measured: crystalline P2OsBr at its relaxed geometry at the PBE-GGA level of DFT.

Values from the calculation:
Crystal system   tetragonal
SG   P4/mmm

Cell and atoms, written as CIF:
```
data_P2OsBr
_chemical_formula_sum 'P2 Os1 Br1'
_cell_length_a 2.856
_cell_length_b 2.856
_cell_length_c 10.774
_cell_angle_alpha 90.00
_cell_angle_beta 90.00
_cell_angle_gamma 90.00
_symmetry_space_group_name_H-M 'P 1'
_symmetry_Int_Tables_number 1
_symmetry_space_group_name_Hall 'P 1'
loop_
_atom_site_label
_atom_site_type_symbol
_atom_site_fract_x
_atom_site_fract_y
_atom_site_fract_z
Br1 Br 0.500 0.500 0.250
Os1 Os 0.500 0.500 0.750
P1 P 0.000 0.000 0.608
P2 P 0.000 0.000 0.892
```

8.
Computed, not measured: crystalline P2OsBr at its relaxed geometry at the PBE-GGA level of DFT.

Values from the calculation:
Crystal system   orthorhombic
SG   Pmmm

Cell and atoms, written as CIF:
```
data_P2OsBr
_chemical_formula_sum 'P2 Os1 Br1'
_cell_length_a 3.032
_cell_length_b 4.441
_cell_length_c 4.610
_cell_angle_alpha 90.00
_cell_angle_beta 90.00
_cell_angle_gamma 90.00
_symmetry_space_group_name_H-M 'P 1'
_symmetry_Int_Tables_number 1
_symmetry_space_group_name_Hall 'P 1'
loop_
_atom_site_label
_atom_site_type_symbol
_atom_site_fract_x
_atom_site_fract_y
_atom_site_fract_z
Os1 Os 0.000 0.500 0.500
P1 P 0.000 0.000 0.000
P2 P 0.500 0.500 0.000
Br1 Br 0.500 0.000 0.500
```

9.
Computed, not measured: crystalline P2OsBr at its relaxed geometry at the PBE-GGA level of DFT.

Values from the calculation:
Crystal system   orthorhombic
SG   Immm

Cell and atoms, written as CIF:
```
data_P2OsBr
_chemical_formula_sum 'P2 Os1 Br1'
_cell_length_a 5.930
_cell_length_b 5.930
_cell_length_c 5.930
_cell_angle_alpha 151.57
_cell_angle_beta 131.85
_cell_angle_gamma 56.86
_symmetry_space_group_name_H-M 'P 1'
_symmetry_Int_Tables_number 1
_symmetry_space_group_name_Hall 'P 1'
loop_
_atom_site_label
_atom_site_type_symbol
_atom_site_fract_x
_atom_site_fract_y
_atom_site_fract_z
P1 P 0.435 0.435 0.000
P2 P 0.065 0.065 0.000
Os1 Os 0.250 0.750 0.500
Br1 Br 0.750 0.250 0.500
```

10.
Computed, not measured: crystalline P2OsBr at its relaxed geometry at the PBE-GGA level of DFT.

Values from the calculation:
Crystal system   monoclinic
SG   P2/m

Cell and atoms, written as CIF:
```
data_P2OsBr
_chemical_formula_sum 'P2 Os1 Br1'
_cell_length_a 3.690
_cell_length_b 4.948
_cell_length_c 7.205
_cell_angle_alpha 47.52
_cell_angle_beta 90.00
_cell_angle_gamma 90.00
_symmetry_space_group_name_H-M 'P 1'
_symmetry_Int_Tables_number 1
_symmetry_space_group_name_Hall 'P 1'
loop_
_atom_site_label
_atom_site_type_symbol
_atom_site_fract_x
_atom_site_fract_y
_atom_site_fract_z
Os1 Os 0.500 0.750 0.750
Br1 Br 0.500 0.250 0.250
P1 P 0.000 0.463 0.747
P2 P 0.000 0.037 0.753
```

11.
Computed, not measured: crystalline P2OsBr at its relaxed geometry at the PBE-GGA level of DFT.

Values from the calculation:
Crystal system   tetragonal
SG   I-42d

Cell and atoms, written as CIF:
```
data_P2OsBr
_chemical_formula_sum 'P4 Os2 Br2'
_cell_length_a 6.197
_cell_length_b 6.197
_cell_length_c 6.739
_cell_angle_alpha 62.63
_cell_angle_beta 62.63
_cell_angle_gamma 90.00
_symmetry_space_group_name_H-M 'P 1'
_symmetry_Int_Tables_number 1
_symmetry_space_group_name_Hall 'P 1'
loop_
_atom_site_label
_atom_site_type_symbol
_atom_site_fract_x
_atom_site_fract_y
_atom_site_fract_z
Os1 Os 0.750 0.250 0.500
Os2 Os 0.000 0.000 0.000
P1 P 0.375 0.272 0.750
P2 P 0.875 0.978 0.750
P3 P 0.728 0.125 0.250
P4 P 0.022 0.625 0.250
Br1 Br 0.500 0.500 0.000
Br2 Br 0.250 0.750 0.500
```

12.
Computed, not measured: crystalline POsBr at its relaxed geometry at the PBE-GGA level of DFT.

Values from the calculation:
Crystal system   cubic
SG   F-43m

Cell and atoms, written as CIF:
```
data_POsBr
_chemical_formula_sum 'P1 Os1 Br1'
_cell_length_a 4.229
_cell_length_b 4.229
_cell_length_c 4.229
_cell_angle_alpha 60.00
_cell_angle_beta 60.00
_cell_angle_gamma 60.00
_symmetry_space_group_name_H-M 'P 1'
_symmetry_Int_Tables_number 1
_symmetry_space_group_name_Hall 'P 1'
loop_
_atom_site_label
_atom_site_type_symbol
_atom_site_fract_x
_atom_site_fract_y
_atom_site_fract_z
Br1 Br 0.500 0.500 0.500
P1 P 0.000 0.000 0.000
Os1 Os 0.750 0.750 0.750
```

13.
Computed, not measured: crystalline POs4Br at its relaxed geometry at the PBE-GGA level of DFT.

Values from the calculation:
Crystal system   cubic
SG   F-43m

Cell and atoms, written as CIF:
```
data_POs4Br
_chemical_formula_sum 'P1 Os4 Br1'
_cell_length_a 5.253
_cell_length_b 5.253
_cell_length_c 5.253
_cell_angle_alpha 60.00
_cell_angle_beta 60.00
_cell_angle_gamma 60.00
_symmetry_space_group_name_H-M 'P 1'
_symmetry_Int_Tables_number 1
_symmetry_space_group_name_Hall 'P 1'
loop_
_atom_site_label
_atom_site_type_symbol
_atom_site_fract_x
_atom_site_fract_y
_atom_site_fract_z
Br1 Br 0.000 0.000 0.000
Os1 Os 0.624 0.127 0.624
Os2 Os 0.127 0.624 0.624
Os3 Os 0.624 0.624 0.127
Os4 Os 0.624 0.624 0.624
P1 P 0.250 0.250 0.250
```

14.
Computed, not measured: crystalline P2OsBr at its relaxed geometry at the PBE-GGA level of DFT.

Values from the calculation:
Crystal system   orthorhombic
SG   Imm2

Cell and atoms, written as CIF:
```
data_P2OsBr
_chemical_formula_sum 'P2 Os1 Br1'
_cell_length_a 10.477
_cell_length_b 10.477
_cell_length_c 10.477
_cell_angle_alpha 164.22
_cell_angle_beta 163.73
_cell_angle_gamma 22.74
_symmetry_space_group_name_H-M 'P 1'
_symmetry_Int_Tables_number 1
_symmetry_space_group_name_Hall 'P 1'
loop_
_atom_site_label
_atom_site_type_symbol
_atom_site_fract_x
_atom_site_fract_y
_atom_site_fract_z
Br1 Br 0.433 0.433 0.000
P1 P 0.106 0.106 0.000
P2 P 0.761 0.261 0.500
Os1 Os 0.199 0.699 0.500
```

15.
Computed, not measured: crystalline P2OsBr at its relaxed geometry at the PBE-GGA level of DFT.

Values from the calculation:
Crystal system   monoclinic
SG   Pm

Cell and atoms, written as CIF:
```
data_P2OsBr
_chemical_formula_sum 'P2 Os1 Br1'
_cell_length_a 3.731
_cell_length_b 3.987
_cell_length_c 6.117
_cell_angle_alpha 88.81
_cell_angle_beta 90.00
_cell_angle_gamma 90.00
_symmetry_space_group_name_H-M 'P 1'
_symmetry_Int_Tables_number 1
_symmetry_space_group_name_Hall 'P 1'
loop_
_atom_site_label
_atom_site_type_symbol
_atom_site_fract_x
_atom_site_fract_y
_atom_site_fract_z
Os1 Os 0.500 0.714 0.852
P1 P 0.000 0.889 0.038
P2 P 0.500 0.244 0.064
Br1 Br 0.000 0.653 0.546
```

16.
Computed, not measured: crystalline POsBr at its relaxed geometry at the PBE-GGA level of DFT.

Values from the calculation:
Crystal system   orthorhombic
SG   Fmm2

Cell and atoms, written as CIF:
```
data_POsBr
_chemical_formula_sum 'P1 Os1 Br1'
_cell_length_a 8.553
_cell_length_b 8.258
_cell_length_c 3.077
_cell_angle_alpha 84.91
_cell_angle_beta 74.09
_cell_angle_gamma 21.00
_symmetry_space_group_name_H-M 'P 1'
_symmetry_Int_Tables_number 1
_symmetry_space_group_name_Hall 'P 1'
loop_
_atom_site_label
_atom_site_type_symbol
_atom_site_fract_x
_atom_site_fract_y
_atom_site_fract_z
P1 P 0.716 0.716 0.284
Os1 Os 0.320 0.320 0.680
Br1 Br 0.964 0.964 0.036
```

17.
Computed, not measured: crystalline P2OsBr at its relaxed geometry at the PBE-GGA level of DFT.

Values from the calculation:
Crystal system   cubic
SG   F-43m

Cell and atoms, written as CIF:
```
data_P2OsBr
_chemical_formula_sum 'P2 Os1 Br1'
_cell_length_a 4.448
_cell_length_b 4.448
_cell_length_c 4.448
_cell_angle_alpha 60.00
_cell_angle_beta 60.00
_cell_angle_gamma 60.00
_symmetry_space_group_name_H-M 'P 1'
_symmetry_Int_Tables_number 1
_symmetry_space_group_name_Hall 'P 1'
loop_
_atom_site_label
_atom_site_type_symbol
_atom_site_fract_x
_atom_site_fract_y
_atom_site_fract_z
P1 P 0.000 0.000 0.000
P2 P 0.250 0.250 0.250
Os1 Os 0.750 0.750 0.750
Br1 Br 0.500 0.500 0.500
```

18.
Computed, not measured: crystalline P2OsBr at its relaxed geometry at the PBE-GGA level of DFT.

Values from the calculation:
Crystal system   trigonal
SG   R-3m

Cell and atoms, written as CIF:
```
data_P2OsBr
_chemical_formula_sum 'P2 Os1 Br1'
_cell_length_a 7.281
_cell_length_b 7.281
_cell_length_c 7.281
_cell_angle_alpha 28.11
_cell_angle_beta 28.11
_cell_angle_gamma 28.11
_symmetry_space_group_name_H-M 'P 1'
_symmetry_Int_Tables_number 1
_symmetry_space_group_name_Hall 'P 1'
loop_
_atom_site_label
_atom_site_type_symbol
_atom_site_fract_x
_atom_site_fract_y
_atom_site_fract_z
P1 P 0.476 0.476 0.476
P2 P 0.024 0.024 0.024
Os1 Os 0.750 0.750 0.750
Br1 Br 0.250 0.250 0.250
```

19.
Computed, not measured: crystalline POsBr at its relaxed geometry at the PBE-GGA level of DFT.

Values from the calculation:
Crystal system   cubic
SG   F-43m

Cell and atoms, written as CIF:
```
data_POsBr
_chemical_formula_sum 'P1 Os1 Br1'
_cell_length_a 4.249
_cell_length_b 4.249
_cell_length_c 4.249
_cell_angle_alpha 60.00
_cell_angle_beta 60.00
_cell_angle_gamma 60.00
_symmetry_space_group_name_H-M 'P 1'
_symmetry_Int_Tables_number 1
_symmetry_space_group_name_Hall 'P 1'
loop_
_atom_site_label
_atom_site_type_symbol
_atom_site_fract_x
_atom_site_fract_y
_atom_site_fract_z
Br1 Br 0.000 0.000 0.000
Os1 Os 0.500 0.500 0.500
P1 P 0.750 0.750 0.750
```

20.
Computed, not measured: crystalline P2OsBr at its relaxed geometry at the PBE-GGA level of DFT.

Values from the calculation:
Crystal system   tetragonal
SG   I4/mmm

Cell and atoms, written as CIF:
```
data_P2OsBr
_chemical_formula_sum 'P2 Os1 Br1'
_cell_length_a 4.409
_cell_length_b 4.407
_cell_length_c 4.407
_cell_angle_alpha 68.89
_cell_angle_beta 73.77
_cell_angle_gamma 111.13
_symmetry_space_group_name_H-M 'P 1'
_symmetry_Int_Tables_number 1
_symmetry_space_group_name_Hall 'P 1'
loop_
_atom_site_label
_atom_site_type_symbol
_atom_site_fract_x
_atom_site_fract_y
_atom_site_fract_z
P1 P 0.500 0.000 0.500
P2 P 0.000 0.000 0.000
Br1 Br 0.000 0.500 0.500
Os1 Os 0.500 0.500 0.000
```

no.,magnetic moment (μB/f.u.),total DFT energy (no corrections) (eV/atom),formation energy without anion corrections (eV per formula unit)
1,0.000,-5.610,1.68
2,0.000,-5.850,0.76
3,0.000,-5.826,0.42
4,0.869,-4.800,4.52
5,0.000,-4.785,4.58
6,0.000,-5.447,1.93
7,0.000,-5.769,0.65
8,0.000,-4.799,4.53
9,0.000,-5.250,2.72
10,0.000,-5.671,1.04
11,0.000,-5.694,0.95
12,0.000,-5.595,1.53
13,1.817,-7.037,9.78
14,0.000,-5.726,0.82
15,0.000,-5.712,0.88
16,0.000,-5.532,1.72
17,0.000,-4.836,4.38
18,0.000,-5.700,0.92
19,0.223,-4.640,4.39
20,0.000,-5.145,3.14